The following is a PBE-GGA calculation of a relaxed CdPb2 crystal, from Alexandria.

a b c (Å): 6.9302 6.9302 9.2839
angles (deg): 90.00 90.00 120.00
Space group P6_3/mmc (No. 194)
Symmetry-distinct sites (fractional):
Cd1 0.3333 0.6667 0.0816 [4 per cell]
Pb1 0.0000 0.0000 0.0000 [2 per cell]
Pb2 0.1796 0.3591 0.7500 [6 per cell]

Energy of formation from the pure elements   0.55 eV/f.u.
Distance to the lowest polymorph of the same formula   0.1505 eV per atom
Total energy   -2.593 eV per atom